# Na8As2Au (PBE, optimized geometry)
# Crystal system: orthorhombic
# Final energy in eV per atom: -2.43
# Energy relative to the elements in eV per atom: -0.331
data_Na8As2Au
_cell_length_a 5.0311
_cell_length_b 7.4550
_cell_length_c 14.6397
_cell_angle_alpha 90.00
_cell_angle_beta 90.00
_cell_angle_gamma 90.00
_symmetry_space_group_name_H-M 'I m m m'
_symmetry_Int_Tables_number 71
_symmetry_space_group_name_Hall '-I 2 2'
loop_
_atom_site_label
_atom_site_fract_x
_atom_site_fract_y
_atom_site_fract_z
Na1 0.0000 0.0000 0.1632
Na2 0.0000 0.2247 0.3403
Na3 0.0000 0.2928 0.0000
As1 0.0000 0.5000 0.1814
Au1 0.0000 0.5000 0.5000